Record 1
First-principles (PBE-GGA) data for a relaxed Ba3TaCd2O8 crystal, as listed in Alexandria.

```
14
Lattice="-0.975 -5.193 2.845 4.203 3.781 2.012 -5.408 3.549 4.627" Properties=species:S:1:pos:R:3 pbc="T T T"
Ba -0.921 3.020 5.198
Ba -1.258 -0.883 4.286
Ba 0.000 0.000 0.000
Ta -2.704 1.775 2.313
Cd 1.404 1.494 3.208
Cd -3.583 0.643 6.276
O -2.607 4.126 6.639
O 0.427 -1.989 2.844
O 1.501 3.634 3.765
O -3.681 -1.497 5.718
O -0.745 1.613 2.690
O -1.435 0.524 6.794
O 0.981 0.859 5.286
O -3.160 1.278 4.198
```

Output
As for the volume: 17.71 Å³/atom. As for the uncorrected formation energy: -2.0889 eV/atom.



Record 2
First-principles (PBE-GGA) data for a relaxed Ba2CdTcO6 crystal, as listed in Alexandria.

```
20
Lattice="-4.979 2.835 1.825 -5.363 -2.651 -0.607 -2.452 -4.031 9.478" Properties=species:S:1:pos:R:3 pbc="T T T"
Ba -9.948 -1.438 4.813
Ba -2.846 -2.409 5.883
Ba -9.509 -3.242 8.813
Ba -3.285 -0.605 1.883
Cd -6.681 -0.757 2.761
Cd -6.113 -3.090 7.935
Tc 0.000 0.000 0.000
Tc -6.397 -1.924 5.348
O -7.227 -0.163 4.993
O -7.407 -2.735 3.853
O -4.893 -1.492 4.137
O -5.567 -3.684 5.703
O -5.387 -1.112 6.843
O -7.901 -2.355 6.558
O -6.859 -1.976 9.653
O -7.071 -5.013 8.307
O -4.102 -3.545 8.643
O -5.935 -1.871 1.043
O -5.723 1.165 2.389
O -8.691 -0.302 2.053
```

Output
As for the volume: 15.66 Å³/atom. As for the uncorrected formation energy: -1.8785 eV/atom.



Record 3
First-principles (PBE-GGA) data for a relaxed BaCd2TeO2 crystal, as listed in Alexandria.

```
12
Lattice="6.402 0.000 0.000 0.000 8.589 -0.906 0.000 -4.054 8.863" Properties=species:S:1:pos:R:3 pbc="T T T"
Ba 1.600 1.182 0.535
Ba 4.801 3.354 7.422
Cd 1.600 6.683 1.353
Cd 1.600 4.932 5.024
Cd 4.801 -2.147 6.604
Cd 4.801 -0.397 2.933
Te 4.801 0.326 5.534
Te 1.600 4.210 2.423
O 3.202 -0.657 1.488
O 6.401 -0.657 1.488
O 0.001 5.193 6.469
O 3.200 5.193 6.469
```

Output
As for the volume: 38.65 Å³/atom. As for the uncorrected formation energy: -1.2350 eV/atom.